AcTb3: optimized geometry, PBE-GGA.

abc: 5.1814 5.1814 5.1814
angles: 90.00 90.00 90.00
Space group Pm-3m (No. 221)
Symmetry-distinct sites (fractional):
Ac1 0.0000 0.0000 0.0000 (multiplicity 1)
Tb1 0.0000 0.5000 0.5000 (multiplicity 3)

Output
E_form: 0.05 eV per atom
M_tot: 0.0 μB per formula unit
calculated density: 8401 kg/m3


MnPCS: optimized geometry, PBE-GGA.

abc: 3.1294 4.2532 5.0175
angles: 81.41 71.88 68.51
Space group P1 (No. 1)
Symmetry-distinct sites (fractional):
Mn1 0.0000 0.0000 0.0000 (multiplicity 1)
P1 0.6907 0.5837 0.0327 (multiplicity 1)
C1 0.4054 0.9326 0.2562 (multiplicity 1)
S1 0.1462 0.1488 0.5559 (multiplicity 1)

Output
M_tot: 0.7 μB per formula unit
calculated density: 3658 kg/m3
formation energy from raw total energies: 0.3726 eV per atom


Pr6As2HS3: optimized geometry, PBE-GGA.

abc: 18.0584 4.1950 8.2487
angles: 90.00 103.91 90.00
Space group C2/m (No. 12)
Symmetry-distinct sites (fractional):
Pr1 0.0032 0.0000 0.2418 (multiplicity 4)
Pr2 0.1669 0.5000 0.0850 (multiplicity 4)
Pr3 0.1684 0.5000 0.5799 (multiplicity 4)
As1 0.1630 0.0000 0.8275 (multiplicity 4)
H1 0.0000 0.5000 0.5000 (multiplicity 2)
S1 0.0000 0.5000 0.0000 (multiplicity 2)
S2 0.1685 0.0000 0.3348 (multiplicity 4)

Output
M_tot: 0.0 μB per formula unit
calculated density: 5982 kg/m3
calculated total energy: -144.48 eV/cell


Np6Al23: optimized geometry, PBE-GGA.

abc: 12.9022 12.9022 12.9022
angles: 90.00 90.00 90.00
Space group Fm-3m (No. 225)
Symmetry-distinct sites (fractional):
Np1 0.0000 0.0000 0.1947 (multiplicity 24)
Al1 0.0000 0.0000 0.5000 (multiplicity 4)
Al2 0.0000 0.2500 0.2500 (multiplicity 24)
Al3 0.1188 0.1188 0.3812 (multiplicity 32)
Al4 0.1691 0.1691 0.1691 (multiplicity 32)

Output
E_form: -0.02 eV per atom
M_tot: 26.4 μB per formula unit
calculated density: 6317 kg/m3


Hf4Si6Rh7: optimized geometry, PBE-GGA.

abc: 8.0396 8.0396 8.0396
angles: 90.00 90.00 90.00
Space group Im-3m (No. 229)
Symmetry-distinct sites (fractional):
Hf1 0.2500 0.2500 0.2500 (multiplicity 8)
Si1 0.0000 0.0000 0.3182 (multiplicity 12)
Rh1 0.0000 0.0000 0.0000 (multiplicity 2)
Rh2 0.0000 0.2500 0.5000 (multiplicity 12)

Output
M_tot: 0.0 μB per formula unit
calculated density: 10244 kg/m3
formation energy from raw total energies: -1.0029 eV per atom


Ba3Sr2Hg2: optimized geometry, PBE-GGA.

abc: 15.0622 4.4772 10.8688
angles: 90.00 116.23 90.00
Space group C2/m (No. 12)
Symmetry-distinct sites (fractional):
Ba1 0.0000 0.0000 0.0000 (multiplicity 2)
Ba2 0.1155 0.0000 0.4353 (multiplicity 4)
Sr1 0.1694 0.5000 0.8189 (multiplicity 4)
Hg1 0.1784 0.5000 0.2299 (multiplicity 4)

Output
E_form: -0.30 eV per atom
M_tot: 0.0 μB per formula unit
calculated density: 4993 kg/m3


PmS8I2: optimized geometry, PBE-GGA.

abc: 7.8743 12.9464 9.1261
angles: 90.00 98.48 90.00
Space group C2/m (No. 12)
Symmetry-distinct sites (fractional):
Pm1 0.0000 0.0000 0.0000 (multiplicity 2)
S1 0.0028 0.5000 0.1129 (multiplicity 4)
S2 0.0946 0.2149 0.9391 (multiplicity 8)
S3 0.2450 0.5000 0.2082 (multiplicity 4)
I1 0.1665 0.0000 0.3231 (multiplicity 4)

Output
M_tot: 0.0 μB per formula unit
calculated density: 2365 kg/m3
formation energy from raw total energies: -0.2481 eV per atom


LiPm2PO6: optimized geometry, PBE-GGA.

abc: 5.1417 5.1417 4.3268
angles: 90.00 90.00 90.00
Space group P4mm (No. 99)
Symmetry-distinct sites (fractional):
Li1 0.0000 0.0000 0.0000 (multiplicity 1)
Pm1 0.0000 0.5000 0.4530 (multiplicity 2)
P1 0.5000 0.5000 0.0068 (multiplicity 1)
O1 0.0000 0.0000 0.5467 (multiplicity 1)
O2 0.2773 0.2773 0.0942 (multiplicity 4)
O3 0.5000 0.5000 0.6354 (multiplicity 1)

Output
M_tot: 0.0 μB per formula unit
calculated density: 6154 kg/m3
formation energy from raw total energies: -2.7311 eV per atom


What is the formula in the eighth record?
LiPm2PO6


What is the calculated density in the first record?
8401 kg/m3


What is the calculated density in the second record?
3658 kg/m3